First-principles (PBE) data for CoP after structural relaxation, as listed in Alexandria.

```
CoP
1.0
9.905 0.000 0.000
0.000 9.905 0.000
0.000 0.000 3.165
P Co
8 8
Cartesian
8.979 3.464 0.000
6.296 2.390 1.583
3.609 7.515 1.583
7.515 6.296 1.583
2.390 3.609 1.583
0.926 6.441 0.000
3.464 0.926 0.000
6.441 8.979 0.000
4.235 8.815 0.000
7.671 4.033 1.583
1.090 4.235 0.000
2.234 5.872 1.583
8.815 5.670 0.000
5.670 1.090 0.000
4.033 2.234 1.583
5.872 7.671 1.583
```

Properties
The volume comes out at 310.52 Å³/cell. Its crystal system is tetragonal. The space group is P4/m, No. 83. The calculation puts the total energy at -6.471 eV per atom.

First-principles (PBE) data for CoP after structural relaxation, as listed in Alexandria.

```
CoP
1.0
3.321 0.000 0.000
0.000 4.807 0.000
0.000 0.000 11.545
Co P
6 6
Cartesian
1.661 0.355 3.786
0.000 2.432 5.773
1.661 0.355 7.759
0.000 4.452 1.986
1.661 2.375 0.000
0.000 4.452 9.559
0.000 3.855 4.148
0.000 3.722 0.000
1.661 1.085 5.773
0.000 3.855 7.398
1.661 0.952 1.625
1.661 0.952 9.920
```

Properties
The volume comes out at 184.31 Å³/cell. Its crystal system is orthorhombic. The space group is Pmmn, No. 59. The calculation puts the total energy at -6.475 eV per atom.

First-principles (PBE) data for CoP after structural relaxation, as listed in Alexandria.

```
CoP
1.0
-0.191 -1.783 -2.732
-1.443 -2.931 0.060
-2.885 -0.431 -1.472
P Co
1 1
Cartesian
-2.260 -2.572 -2.072
0.000 0.000 0.000
```

Properties
The volume comes out at 24.67 Å³/cell. Its crystal system is cubic. The space group is Fm-3m, No. 225. The calculation puts the total energy at -6.298 eV per atom.

First-principles (PBE) data for CoP3 after structural relaxation, as listed in Alexandria.

```
CoP3
1.0
3.709 -5.734 0.000
3.709 5.734 0.000
0.000 0.000 3.477
P Co
6 2
Cartesian
2.162 1.063 2.608
3.709 2.619 2.608
5.256 1.063 2.608
5.256 -1.063 0.869
2.162 -1.063 0.869
3.709 -2.619 0.869
3.709 -0.867 2.608
3.709 0.867 0.869
```

Properties
The volume comes out at 147.89 Å³/cell. As for the relative energy among the computed polymorphs: 52.3 kJ/mol of atoms. Its crystal system is orthorhombic. The space group is Cmcm, No. 63.

First-principles (PBE) data for Co3P5 after structural relaxation, as listed in Alexandria.

```
Co3P5
1.0
1.827 2.670 -4.333
-3.616 -3.940 -0.799
-2.893 2.580 0.370
P Co
5 3
Cartesian
-2.751 0.364 -3.557
0.914 1.335 -2.166
-1.808 -1.970 -0.399
-1.931 0.946 -1.204
0.000 0.000 0.000
-3.400 -0.631 -1.693
-1.282 1.941 -3.068
-0.894 -0.635 -2.566
```

Properties
The volume comes out at 100.67 Å³/cell. As for the relative energy among the computed polymorphs: 14.3 kJ/mol of atoms. Its crystal system is orthorhombic. The space group is Cmmm, No. 65.

First-principles (PBE) data for CoP3 after structural relaxation, as listed in Alexandria.

```
CoP3
1.0
-2.362 -1.249 -0.527
2.142 -1.445 0.863
-2.396 1.184 7.930
P Co
3 1
Cartesian
-1.350 -1.073 1.555
-1.198 0.592 3.965
-2.768 -0.372 6.248
0.000 0.000 0.000
```

Properties
The volume comes out at 53.78 Å³/cell. As for the relative energy among the computed polymorphs: 80.1 kJ/mol of atoms. Its crystal system is hexagonal. The space group is P-6m2, No. 187.

First-principles (PBE) data for CoP3 after structural relaxation, as listed in Alexandria.

```
CoP3
1.0
2.850 0.000 0.000
0.000 2.850 0.000
0.000 0.000 6.331
P Co
3 1
Cartesian
1.425 1.425 1.353
0.000 0.000 3.165
1.425 1.425 4.978
0.000 0.000 0.000
```

Properties
The volume comes out at 51.40 Å³/cell. As for the relative energy among the computed polymorphs: 77.2 kJ/mol of atoms. Its crystal system is tetragonal. The space group is P4/mmm, No. 123.

First-principles (PBE) data for CoP after structural relaxation, as listed in Alexandria.

```
CoP
1.0
-7.087 -1.053 6.149
-5.066 -1.653 7.794
-5.771 0.899 7.419
Co P
2 2
Cartesian
-13.362 -1.347 15.924
-0.082 -0.008 0.097
-8.422 -0.849 10.037
-5.022 -0.506 5.985
```

Properties
The volume comes out at 57.68 Å³/cell. Its crystal system is trigonal. The space group is R-3m, No. 166. The calculation puts the total energy at -6.205 eV per atom.

What did the sixth record say?
First-principles (PBE) data for CoP3 after structural relaxation, as listed in Alexandria.

```
CoP3
1.0
-2.362 -1.249 -0.527
2.142 -1.445 0.863
-2.396 1.184 7.930
P Co
3 1
Cartesian
-1.350 -1.073 1.555
-1.198 0.592 3.965
-2.768 -0.372 6.248
0.000 0.000 0.000
```

Properties
The volume comes out at 53.78 Å³/cell. As for the relative energy among the computed polymorphs: 80.1 kJ/mol of atoms. Its crystal system is hexagonal. The space group is P-6m2, No. 187.